No. 1
## TbErAlRh (GGA-PBE)

Data for an optimized crystal structure of TbErAlRh.

CIF file:
```
data_TbErAlRh
_space_group_name_H-M_alt 'P 1'
_space_group_IT_number 1
_cell_length_a 7.0442
_cell_length_b 7.0442
_cell_length_c 7.0442
_cell_angle_alpha 90.00
_cell_angle_beta 90.00
_cell_angle_gamma 90.00
loop_
_space_group_symop_operation_xyz
'x,y,z'
loop_
_atom_site_label
_atom_site_fract_x
_atom_site_fract_y
_atom_site_fract_z
Tb1 0.0000 0.0000 0.0000
Tb2 0.0000 0.5000 0.5000
Tb3 0.5000 0.0000 0.5000
Tb4 0.5000 0.5000 0.0000
Er1 0.0000 0.0000 0.5000
Er2 0.0000 0.5000 0.0000
Er3 0.5000 0.0000 0.0000
Er4 0.5000 0.5000 0.5000
Al1 0.2500 0.2500 0.2500
Al2 0.2500 0.7500 0.7500
Al3 0.7500 0.2500 0.7500
Al4 0.7500 0.7500 0.2500
Rh1 0.2500 0.2500 0.7500
Rh2 0.2500 0.7500 0.2500
Rh3 0.7500 0.2500 0.2500
Rh4 0.7500 0.7500 0.7500
```

Output
- N(E_F): 12.2 states/eV per cell
- Total magnetic moment: 0.000 Bohr magnetons per cell
- Final energy: -5.64 eV/atom
- E_form: -0.566 eV/atom



No. 2
## Ca2CdGa2 (GGA-PBE)

Data for an optimized crystal structure of Ca2CdGa2.

CIF file:
```
data_Ca2CdGa2
_space_group_name_H-M_alt 'P 1'
_space_group_IT_number 1
_cell_length_a 6.1255
_cell_length_b 6.1255
_cell_length_c 10.8972
_cell_angle_alpha 115.53
_cell_angle_beta 115.53
_cell_angle_gamma 44.02
loop_
_space_group_symop_operation_xyz
'x,y,z'
loop_
_atom_site_label
_atom_site_fract_x
_atom_site_fract_y
_atom_site_fract_z
Ca1 0.0044 0.0044 0.3253
Ca2 0.1860 0.1860 0.1033
Ca3 0.8140 0.8140 0.8967
Ca4 0.9956 0.9956 0.6747
Cd1 0.2776 0.2776 0.6457
Cd2 0.7224 0.7224 0.3543
Ga1 0.3715 0.3715 0.4354
Ga2 0.4765 0.4765 0.1082
Ga3 0.5235 0.5235 0.8918
Ga4 0.6285 0.6285 0.5646
```

Output
- N(E_F): 5.7 states/eV per cell
- Total magnetic moment: 0.000 Bohr magnetons per cell
- Final energy: -2.62 eV/atom
- E_form: -0.425 eV/atom